{"formula": "TbNd2Er8", "functional": "PBE", "state": "relaxed", "polymorph_energy_ev_per_atom": 0.000, "space_group": "P-1, No. 2", "e_form_ev_per_atom": 0.0223, "density_g_cm3": 8.58, "lattice": [[1.806, 5.743, -1.171], [3.619, -3.027, -3.923], [-7.931, -4.128, -5.740]], "species": ["Er", "Er", "Er", "Er", "Er", "Er", "Er", "Er", "Nd", "Nd", "Tb"], "fractional_positions": [[0.548, 0.638, 0.730], [0.817, 0.454, 0.090], [0.727, 0.181, 0.639], [0.273, 0.819, 0.361], [0.635, 0.908, 0.179], [0.452, 0.362, 0.270], [0.365, 0.092, 0.821], [0.183, 0.546, 0.910], [0.091, 0.274, 0.454], [0.909, 0.726, 0.546], [0.000, 0.000, 0.000]]}